# 1
The following is a DFT calculation (PBE) of a relaxed structure of Bi2PO6.

Cell lengths 7.035, 7.033, 10.539 Å; angles 71.87, 90.00, 90.00 degrees
Element x y z (fractional)
P 0.431 0.871 0.829
Bi 0.874 0.396 0.318
Bi 0.397 0.254 0.527
O 0.793 0.188 0.550
P 0.931 0.129 0.671
Bi 0.374 0.604 0.182
O 0.978 0.905 0.713
O 0.649 0.164 0.300
O 0.610 0.731 0.867
O 0.073 0.494 0.120
O 0.927 0.506 0.880
Bi 0.103 0.254 0.027
O 0.351 0.836 0.700
O 0.706 0.576 0.136
O 0.390 0.269 0.133
Bi 0.897 0.746 0.973
Bi 0.603 0.746 0.473
O 0.206 0.424 0.364
O 0.294 0.424 0.864
Bi 0.626 0.396 0.818
P 0.069 0.871 0.329
Bi 0.126 0.604 0.682
O 0.890 0.731 0.367
O 0.207 0.812 0.450
O 0.478 0.095 0.787
P 0.569 0.129 0.171
O 0.293 0.812 0.950
O 0.794 0.576 0.636
O 0.522 0.905 0.213
O 0.110 0.269 0.633
O 0.149 0.836 0.200
O 0.573 0.506 0.380
O 0.022 0.095 0.287
O 0.851 0.164 0.800
O 0.707 0.188 0.050
O 0.427 0.494 0.620

Output
- energy above the most stable polymorph in this dataset (meV/atom) = 0
- energy relative to the elements, uncorrected (kJ/mol of formula units) = -1344

***

# 2
The following is a DFT calculation (PBE) of a relaxed structure of LaScZn.

Cell lengths 3.569, 6.482, 7.861 Å; angles 96.84, 117.00, 105.98 degrees
Element x y z (fractional)
Zn 0.579 0.314 0.385
Sc 0.045 0.586 0.215
La 0.594 0.991 0.061
Sc 0.113 0.043 0.556
La 0.563 0.637 0.709
Zn 0.079 0.314 0.885

Output
- energy above the most stable polymorph in this dataset (meV/atom) = 59

***

# 3
The following is a DFT calculation (PBE) of a relaxed structure of CaCd3Au4.

Cell lengths 4.938, 6.875, 9.720 Å; angles 90.00, 90.00, 90.00 degrees
Element x y z (fractional)
Cd 0.545 0.500 0.750
Cd 0.000 0.000 0.500
Au 0.500 0.238 0.500
Cd 0.572 0.000 0.750
Au 0.074 0.235 0.750
Au 0.074 0.765 0.750
Au 0.500 0.238 0.000
Ca 0.000 0.500 0.000
Ca 0.000 0.500 0.500
Au 0.500 0.762 0.000
Cd 0.428 0.000 0.250
Au 0.926 0.235 0.250
Au 0.926 0.765 0.250
Cd 0.000 0.000 0.000
Au 0.500 0.762 0.500
Cd 0.455 0.500 0.250

Output
- E_tot (eV per formula unit) = -20.7

***

# 4
The following is a DFT calculation (PBE) of a relaxed structure of Si3C.

Cell lengths 5.992, 5.992, 3.272 Å; angles 90.00, 90.00, 113.69 degrees
Element x y z (fractional)
Si 0.580 0.901 0.750
C 0.453 0.547 0.750
Si 0.420 0.099 0.250
C 0.547 0.453 0.250
Si 0.092 0.908 0.750
Si 0.908 0.092 0.250
Si 0.901 0.580 0.250
Si 0.099 0.420 0.750

Output
- energy above the most stable polymorph in this dataset (meV/atom) = 578
- energy relative to the elements, uncorrected (kJ/mol of formula units) = 291